Record 1
SmTmCuNi: optimized geometry, PBE-GGA.

Computed properties:
Calculated volume in Å³ per atom: 21.0
Mass density in g/cm3: 8.73
DFT total energy in Ry/atom: -0.375

a b c (Å): 4.4085 3.7246 10.2301
angles (deg): 90.00 90.00 90.00
Last column: nearest neighbours and their distance in Å.
Space group Amm2 (No. 38)
Asymmetric unit:
1 Sm 0.0000 0.0000 0.0000  3 Ni 2.88-2.92, 4 Cu 2.98
2 Tm 0.5000 0.0000 0.7212  3 Cu 2.82-3.00, 4 Ni 2.96
3 Cu 0.5000 0.0000 0.4283  2 Ni 2.65, 2 Tm 2.82
4 Ni 0.0000 0.0000 0.2850  2 Cu 2.65, 3 Sm 2.88-2.92, 4 Tm 2.96

***

Record 2
SmYCuNi: optimized geometry, PBE-GGA.

Computed properties:
Calculated volume in Å³ per atom: 21.6
Mass density in g/cm3: 6.95
DFT total energy in Ry/atom: -0.410

a b c (Å): 4.4303 3.7643 10.3543
angles (deg): 90.00 90.00 90.00
Last column: nearest neighbours and their distance in Å.
Space group Amm2 (No. 38)
Asymmetric unit:
1 Sm 0.0000 0.0000 0.0000  3 Ni 2.88-3.00, 4 Cu 2.99
2 Y 0.5000 0.0000 0.2782  3 Cu 2.86-3.02, 4 Ni 2.99
3 Cu 0.5000 0.0000 0.5696  2 Ni 2.65, 2 Y 2.86
4 Ni 0.0000 0.0000 0.7107  2 Cu 2.65, 2 Sm 2.88

***

Record 3
Sm2ZnCu3Ni12: optimized geometry, PBE-GGA.

Computed properties:
Calculated volume in Å³ per atom: 14.7
Mass density in g/cm3: 7.92
DFT total energy in Ry/atom: -0.361

a b c (Å): 5.9232 5.9232 26.1069
angles (deg): 90.00 90.00 120.00
Last column: nearest neighbours and their distance in Å.
Space group R-3m (No. 166, hexagonal axes)
Asymmetric unit:
1 Sm 0.0000 0.0000 0.1501  6 Ni 2.92-3.04
2 Zn 0.0000 0.0000 0.5000  6 Ni 2.37
3 Cu 0.0000 0.5000 0.0000  6 Ni 2.34-2.49
4 Ni 0.0523 0.5261 0.0948  4 Ni 2.34-2.50, 1 Zn 2.37, 1 Cu 2.49
5 Ni 0.0728 0.5364 0.6159  4 Ni 2.31-2.34, 2 Cu 2.34

***

Record 4
SmZnCuNi: optimized geometry, PBE-GGA.

Computed properties:
Relative energy among the computed polymorphs in meV/atom: 135
Calculated volume in Å³ per atom: 17.1
Mass density in g/cm3: 8.21
DFT total energy in Ry/atom: -0.304

a b c (Å): 6.4896 6.4896 6.4896
angles (deg): 90.00 90.00 90.00
Last column: nearest neighbours and their distance in Å.
Space group F-43m (No. 216)
Asymmetric unit:
1 Sm 0.0000 0.0000 0.0000  4 Cu 2.81, 4 Ni 2.81
2 Zn 0.0000 0.0000 0.5000  4 Ni 2.81, 4 Cu 2.81
3 Cu 0.2500 0.2500 0.7500  4 Sm 2.81, 4 Zn 2.81
4 Ni 0.2500 0.2500 0.2500  4 Sm 2.81, 4 Zn 2.81